No. 1
Pu2TePd: optimized geometry, GGA-PBE.

Unit cell a=3.6738 b=3.6738 c=7.2592 alpha=90.00 beta=90.00 gamma=90.00
Closest atoms and distances in Å follow each position.
Atoms (fractional coordinates):
Te 0.5000 0.5000 0.5000  8 Pu 3.25, 2 Pd 3.63
Pu 0.0000 0.0000 0.7690  4 Pd 3.09, 4 Te 3.25, 1 Pu 3.35
Pu 0.0000 0.0000 0.2310  4 Pd 3.09, 4 Te 3.25, 1 Pu 3.35
Pd 0.5000 0.5000 0.0000  8 Pu 3.09

The density comes out at 12.24 g/cm3.



No. 2
Pu2Te2Pd: optimized geometry, GGA-PBE.

Unit cell a=4.6292 b=4.6292 c=7.3487 alpha=90.00 beta=90.00 gamma=120.00
Closest atoms and distances in Å follow each position.
Atoms (fractional coordinates):
Te 0.6667 0.3333 0.0000  3 Pd 2.67
Te 0.3333 0.6667 0.5000  6 Pu 3.22
Pu 0.0000 0.0000 0.7443  6 Te 3.22-3.27, 3 Pd 3.27, 1 Pu 3.59
Pd 0.3333 0.6667 0.0000  3 Te 2.67
Pu 0.0000 0.0000 0.2557  6 Te 3.22-3.27, 3 Pd 3.27, 1 Pu 3.59

The density comes out at 10.34 g/cm3.



No. 3
PuTePd: optimized geometry, GGA-PBE.

Unit cell a=4.4486 b=4.8132 c=9.3541 alpha=120.95 beta=103.76 gamma=90.00
Closest atoms and distances in Å follow each position.
Atoms (fractional coordinates):
Pd 0.0427 0.8353 0.0854  2 Te 2.73, 2 Pd 2.74, 3 Pu 2.93-2.98
Pu 0.1509 0.5517 0.3019  3 Pd 2.93-2.98, 5 Te 3.15-3.28
Te 0.3550 0.9601 0.7099  2 Pd 2.73
Pu 0.8491 0.4483 0.6981  3 Pd 2.93-2.98, 5 Te 3.15-3.28
Te 0.6450 0.0399 0.2901  2 Pd 2.73
Pd 0.9573 0.1647 0.9146  2 Te 2.73, 2 Pd 2.74, 3 Pu 2.93-2.98

The density comes out at 9.62 g/cm3.



No. 4
PuTePd: optimized geometry, GGA-PBE.

Unit cell a=3.9659 b=3.9659 c=5.3347 alpha=111.82 beta=111.82 gamma=90.00
Closest atoms and distances in Å follow each position.
Atoms (fractional coordinates):
Pu 0.9493 0.9493 0.8986  5 Te 3.09-3.16, 5 Pd 3.11-3.15
Pd 0.2915 0.2915 0.5830  1 Te 2.88, 5 Pu 3.11-3.15
Te 0.6092 0.6092 0.2183  1 Pd 2.88, 5 Pu 3.09-3.16

The density comes out at 11.12 g/cm3.



Number 1: formation energy from raw total energies -0.64 eV/atom, density of states at the Fermi level 16.60 states/eV/cell. Number 2: formation energy from raw total energies -0.86 eV/atom, density of states at the Fermi level 21.33 states/eV/cell. Number 3: formation energy from raw total energies -0.55 eV/atom, density of states at the Fermi level 24.85 states/eV/cell. Number 4: formation energy from raw total energies -0.58 eV/atom, density of states at the Fermi level 8.59 states/eV/cell.